Record 1
# NbOF

NbOF after structural relaxation (PBE, Alexandria).

## Properties
The density of states at the Fermi level comes out at 0.151 states/eV per atom. The crystal system is triclinic. Its total magnetic moment is 0.000 μB per cell. The calculation puts the raw formation energy at -2129 meV/atom. The raw total energy is -23.29 eV/cell.

abc: 2.8304 3.1225 5.6372
angles: 75.46 76.92 63.09
With the nearest neighbours (Å) after each atom.
Positions (direct):
O: 0.4374 0.0451 0.3338  3 Nb 2.04-2.09
F: 0.9252 0.6481 0.8033  3 Nb 2.25-2.27
Nb: 0.6886 0.3590 0.5383  3 O 2.04-2.09, 3 F 2.25-2.27


Record 2
# Nb3O2F5

Nb3O2F5 after structural relaxation (PBE, Alexandria).

## Properties
The crystal system is orthorhombic. Its total magnetic moment is 0.000 μB per cell. The calculation puts the raw formation energy at -2543 meV/atom. The raw total energy is -299.65 eV/cell.

abc: 6.0616 8.1631 13.3820
angles: 90.00 90.00 90.00
With the nearest neighbours (Å) after each atom.
Positions (direct):
F: 0.5000 0.2209 0.6116  3 Nb 2.20-2.24
F: 0.5000 0.7791 0.3884  3 Nb 2.20-2.24
F: 0.5000 0.7005 0.1424  2 Nb 2.09
F: 0.0000 0.7291 0.1501  3 Nb 2.27-2.28
Nb: 0.7192 0.2761 0.7381  2 O 2.04-2.10, 4 F 2.09-2.27
Nb: 0.0000 0.0067 0.1294  2 O 2.04, 3 F 2.14-2.24
Nb: 0.0000 0.9933 0.8706  2 O 2.04, 3 F 2.14-2.24
Nb: 0.2192 0.7761 0.7619  2 O 2.04-2.10, 4 F 2.09-2.27
O: 0.7436 0.5249 0.7324  3 Nb 2.04-2.10
F: 0.2084 0.0000 0.0000  2 Nb 2.14
Nb: 0.2192 0.2239 0.2381  2 O 2.04-2.10, 4 F 2.09-2.27
F: 0.5000 0.2537 0.1429  2 Nb 2.14
Nb: 0.7808 0.7761 0.7619  2 O 2.04-2.10, 4 F 2.09-2.27
Nb: 0.7192 0.7239 0.2619  2 O 2.04-2.10, 4 F 2.09-2.27
F: 0.0000 0.2005 0.3576  2 Nb 2.09
Nb: 0.5000 0.5067 0.3706  2 O 2.04, 3 F 2.14-2.24
F: 0.0000 0.7537 0.3571  2 Nb 2.14
F: 0.7084 0.5000 0.5000  2 Nb 2.14
F: 0.0000 0.2709 0.8499  3 Nb 2.27-2.28
F: 0.2916 0.5000 0.5000  2 Nb 2.14
F: 0.7916 0.0000 0.0000  2 Nb 2.14
F: 0.5000 0.7709 0.6501  3 Nb 2.27-2.28
Nb: 0.7808 0.2239 0.2381  2 O 2.04-2.10, 4 F 2.09-2.27
F: 0.5000 0.2995 0.8576  2 Nb 2.09
F: 0.0000 0.7209 0.8884  3 Nb 2.20-2.24
Nb: 0.5000 0.4933 0.6294  2 O 2.04, 3 F 2.14-2.24
Nb: 0.2808 0.7239 0.2619  2 O 2.04-2.10, 4 F 2.09-2.27
F: 0.5000 0.7463 0.8571  2 Nb 2.14
O: 0.2436 0.9751 0.2324  3 Nb 2.04-2.10
O: 0.2436 0.0249 0.7676  3 Nb 2.04-2.10
F: 0.0000 0.7995 0.6424  2 Nb 2.09
F: 0.0000 0.2791 0.1116  3 Nb 2.20-2.24
O: 0.7564 0.9751 0.2324  3 Nb 2.04-2.10
O: 0.7436 0.4751 0.2676  3 Nb 2.04-2.10
O: 0.2564 0.4751 0.2676  3 Nb 2.04-2.10
F: 0.5000 0.2291 0.3499  3 Nb 2.27-2.28
O: 0.7564 0.0249 0.7676  3 Nb 2.04-2.10
Nb: 0.2808 0.2761 0.7381  2 O 2.04-2.10, 4 F 2.09-2.27
O: 0.2564 0.5249 0.7324  3 Nb 2.04-2.10
F: 0.0000 0.2463 0.6429  2 Nb 2.14


Record 3
# Nb3OF

Nb3OF after structural relaxation (PBE, Alexandria).

## Properties
The density of states at the Fermi level comes out at 0.489 states/eV per atom. The crystal system is cubic. Its total magnetic moment is 0.000 μB per cell. The calculation puts the raw formation energy at -431 meV/atom. The raw total energy is -39.19 eV/cell.

abc: 4.2369 4.2369 4.2369
angles: 90.00 90.00 90.00
With the nearest neighbours (Å) after each atom.
Positions (direct):
Nb: 0.0000 0.5000 0.0000  2 O 2.12
F: 0.5000 0.5000 0.5000  12 Nb 3.00
O: 0.0000 0.0000 0.0000  6 Nb 2.12
Nb: 0.5000 0.0000 0.0000  2 O 2.12
Nb: 0.0000 0.0000 0.5000  2 O 2.12


Record 4
# Nb5O12F3

Nb5O12F3 after structural relaxation (PBE, Alexandria).

## Properties
The density of states at the Fermi level comes out at 1.211 states/eV per atom. The crystal system is cubic. Its total magnetic moment is 8.009 μB per cell. The calculation puts the raw formation energy at -2025 meV/atom. The raw total energy is -623.88 eV/cell.

abc: 11.5433 11.5433 11.5433
angles: 109.47 109.47 109.47
With the nearest neighbours (Å) after each atom.
Positions (direct):
Nb: 0.2500 0.8750 0.1250  4 O 1.88
Nb: 0.8750 0.6250 0.7500  4 O 1.88
O: 0.0081 0.4034 0.3238  2 Nb 1.88-2.02
Nb: 0.6250 0.8750 0.2500  4 O 1.88
O: 0.4204 0.3238 0.3157  2 Nb 1.88-2.02
F: 0.3750 0.7500 0.6250  8 O 2.72-2.92
O: 0.5796 0.9034 0.3953  2 Nb 1.88-2.02
Nb: 0.0000 0.5000 0.5000  6 O 2.02
Nb: 0.5000 0.5000 0.0000  6 O 2.02
Nb: 0.7500 0.1250 0.8750  4 O 1.88
Nb: 0.1250 0.3750 0.2500  4 O 1.88
Nb: 0.5000 0.0000 0.0000  6 O 2.02
O: 0.9034 0.5796 0.8953  2 Nb 1.88-2.02
O: 0.3953 0.9919 0.3157  2 Nb 1.88-2.02
O: 0.1843 0.1047 0.0081  2 Nb 1.88-2.02
Nb: 0.2500 0.3750 0.6250  4 O 1.88
O: 0.9919 0.3953 0.8157  2 Nb 1.88-2.02
O: 0.1047 0.1843 0.5081  2 Nb 1.88-2.02
Nb: 0.0000 0.0000 0.0000  6 O 2.02
O: 0.5966 0.6047 0.9204  2 Nb 1.88-2.02
O: 0.0966 0.6762 0.4919  2 Nb 1.88-2.02
O: 0.5966 0.9919 0.1762  2 Nb 1.88-2.02
O: 0.4919 0.3157 0.8953  2 Nb 1.88-2.02
Nb: 0.8750 0.2500 0.6250  4 O 1.88
F: 0.6250 0.3750 0.7500  8 O 2.72-2.92
Nb: 0.0000 0.0000 0.5000  6 O 2.02
O: 0.5081 0.8238 0.9034  2 Nb 1.88-2.02
Nb: 0.3750 0.1250 0.7500  4 O 1.88
O: 0.8953 0.0796 0.9034  2 Nb 1.88-2.02
O: 0.6047 0.0081 0.6843  2 Nb 1.88-2.02
O: 0.9204 0.8157 0.8238  2 Nb 1.88-2.02
F: 0.7500 0.8750 0.6250  8 O 2.72-2.92
F: 0.8750 0.7500 0.1250  8 O 2.72-2.92
Nb: 0.7500 0.6250 0.3750  4 O 1.88
O: 0.6843 0.1762 0.5796  2 Nb 1.88-2.02
O: 0.8238 0.3157 0.9204  2 Nb 1.88-2.02
O: 0.4919 0.1762 0.0966  2 Nb 1.88-2.02
O: 0.8238 0.5081 0.4034  2 Nb 1.88-2.02
F: 0.1250 0.2500 0.8750  8 O 2.72-2.92
O: 0.6047 0.5966 0.4204  2 Nb 1.88-2.02
O: 0.0796 0.1843 0.1762  2 Nb 1.88-2.02
Nb: 0.1250 0.7500 0.3750  4 O 1.88
F: 0.6250 0.2500 0.3750  8 O 2.72-2.92
O: 0.4034 0.0081 0.8238  2 Nb 1.88-2.02
O: 0.6843 0.5081 0.6047  2 Nb 1.88-2.02
O: 0.6762 0.5796 0.1843  2 Nb 1.88-2.02
O: 0.1843 0.0796 0.6762  2 Nb 1.88-2.02
Nb: 0.0000 0.5000 0.0000  6 O 2.02
O: 0.0966 0.4204 0.1047  2 Nb 1.88-2.02
F: 0.7500 0.3750 0.1250  8 O 2.72-2.92
F: 0.8750 0.1250 0.2500  8 O 2.72-2.92
O: 0.4204 0.0966 0.6047  2 Nb 1.88-2.02
O: 0.9204 0.1047 0.5966  2 Nb 1.88-2.02
O: 0.1762 0.6843 0.0796  2 Nb 1.88-2.02
O: 0.3953 0.4034 0.5796  2 Nb 1.88-2.02
O: 0.8157 0.8953 0.9919  2 Nb 1.88-2.02
O: 0.1762 0.4919 0.5966  2 Nb 1.88-2.02
F: 0.3750 0.6250 0.2500  8 O 2.72-2.92
O: 0.3238 0.9034 0.0081  2 Nb 1.88-2.02
O: 0.8157 0.9204 0.3238  2 Nb 1.88-2.02
O: 0.6762 0.0966 0.9919  2 Nb 1.88-2.02
O: 0.1047 0.9204 0.0966  2 Nb 1.88-2.02
O: 0.0796 0.8953 0.4034  2 Nb 1.88-2.02
Nb: 0.3750 0.2500 0.1250  4 O 1.88
F: 0.2500 0.1250 0.3750  8 O 2.72-2.92
O: 0.4034 0.3953 0.0796  2 Nb 1.88-2.02
F: 0.1250 0.8750 0.7500  8 O 2.72-2.92
Nb: 0.5000 0.0000 0.5000  6 O 2.02
O: 0.8953 0.8157 0.4919  2 Nb 1.88-2.02
O: 0.3157 0.8238 0.4204  2 Nb 1.88-2.02
Nb: 0.5000 0.5000 0.5000  6 O 2.02
Nb: 0.6250 0.7500 0.8750  4 O 1.88
F: 0.2500 0.6250 0.8750  8 O 2.72-2.92
O: 0.0081 0.6047 0.1843  2 Nb 1.88-2.02
O: 0.9919 0.5966 0.6762  2 Nb 1.88-2.02
O: 0.3157 0.4919 0.3953  2 Nb 1.88-2.02
O: 0.3238 0.4204 0.8157  2 Nb 1.88-2.02
O: 0.9034 0.3238 0.5081  2 Nb 1.88-2.02
O: 0.5081 0.6843 0.1047  2 Nb 1.88-2.02
O: 0.5796 0.6762 0.6843  2 Nb 1.88-2.02


Record 5
# NbOF

NbOF after structural relaxation (PBE, Alexandria).

## Properties
The density of states at the Fermi level comes out at 0.160 states/eV per atom. The crystal system is tetragonal. Its total magnetic moment is 0.000 μB per cell. The calculation puts the raw formation energy at -2342 meV/atom. The raw total energy is -95.70 eV/cell.

abc: 2.7460 7.5549 7.5549
angles: 90.00 90.00 90.00
With the nearest neighbours (Å) after each atom.
Positions (direct):
Nb: 0.0000 0.7564 0.7736  3 O 1.99-2.09, 1 F 2.22
F: 0.0000 0.4647 0.7411  3 Nb 2.22-2.27
F: 0.5000 0.2589 0.4647  3 Nb 2.22-2.27
Nb: 0.5000 0.2264 0.7564  3 O 1.99-2.09, 1 F 2.22
O: 0.5000 0.7485 0.9818  3 Nb 1.99-2.09
F: 0.0000 0.5353 0.2589  3 Nb 2.22-2.27
Nb: 0.0000 0.2436 0.2264  3 O 1.99-2.09, 1 F 2.22
O: 0.0000 0.9818 0.2515  3 Nb 1.99-2.09
F: 0.5000 0.7411 0.5353  3 Nb 2.22-2.27
O: 0.0000 0.0182 0.7485  3 Nb 1.99-2.09
Nb: 0.5000 0.7736 0.2436  3 O 1.99-2.09, 1 F 2.22
O: 0.5000 0.2515 0.0182  3 Nb 1.99-2.09


Record 6
# Nb2OF

Nb2OF after structural relaxation (PBE, Alexandria).

## Properties
The density of states at the Fermi level comes out at 0.423 states/eV per atom. The crystal system is tetragonal. Its total magnetic moment is 0.000 μB per cell. The calculation puts the raw formation energy at -1181 meV/atom. The raw total energy is -63.39 eV/cell.

abc: 4.1073 4.1073 7.2258
angles: 73.49 73.49 90.00
With the nearest neighbours (Å) after each atom.
Positions (direct):
O: 0.2500 0.7500 0.5000  4 Nb 2.14
Nb: 0.1592 0.6250 0.2500  2 O 2.14, 2 F 2.27
Nb: 0.5908 0.1250 0.2500  2 O 2.14, 2 F 2.27
F: 0.7500 0.2500 0.5000  4 Nb 2.27
Nb: 0.3750 0.4092 0.7500  2 O 2.14, 2 F 2.27
O: 0.5000 0.5000 0.0000  4 Nb 2.14
Nb: 0.8750 0.8408 0.7500  2 O 2.14, 2 F 2.27
F: 0.0000 0.0000 0.0000  4 Nb 2.27


Q: Which of these has the highest raw formation energy?
A: Nb3OF


Q: Which value of raw formation energy does entry 3 give?
A: -431 meV/atom